[1]
# SCAN CuAuSe, single point on PBEsol structure
# Formation energy without anion corrections = 4.39 kcal/mol of atoms
# E = -34.621 eV per atom
data_CuAuSe
_cell_length_a 3.483
_cell_length_b 4.396
_cell_length_c 12.953
_cell_angle_alpha 90.00
_cell_angle_beta 90.00
_cell_angle_gamma 90.00
_space_group_name_H-M_alt 'F m m 2'
_space_group_IT_number 42
_space_group_name_Hall 'F 2 -2'
loop_
_atom_site_label
_atom_site_type_symbol
_atom_site_fract_x
_atom_site_fract_y
_atom_site_fract_z
Cu1 Cu 0.000 0.000 0.000
Au1 Au 0.000 0.000 0.353
Se1 Se 0.000 0.000 0.642

=====

[2]
# SCAN Be2AsPt, single point on PBEsol structure
# Formation enthalpy at 0 K = -167 meV per atom
# E = -24.939 eV per atom
data_Be2AsPt
_cell_length_a 3.859
_cell_length_b 3.859
_cell_length_c 3.302
_cell_angle_alpha 90.00
_cell_angle_beta 90.00
_cell_angle_gamma 90.00
_space_group_name_H-M_alt 'P 4/m m m'
_space_group_IT_number 123
_space_group_name_Hall '-P 4 2'
loop_
_atom_site_label
_atom_site_type_symbol
_atom_site_fract_x
_atom_site_fract_y
_atom_site_fract_z
Be1 Be 0.000 0.500 0.000
As1 As 0.000 0.000 0.500
Pt1 Pt 0.500 0.500 0.500

=====

[3]
# SCAN ZnCo2Re2, single point on PBEsol structure
# Formation enthalpy at 0 K = 597 meV per atom
# E = -37.467 eV per atom
data_ZnCo2Re2
_cell_length_a 3.710
_cell_length_b 3.710
_cell_length_c 10.256
_cell_angle_alpha 90.00
_cell_angle_beta 90.00
_cell_angle_gamma 90.00
_space_group_name_H-M_alt 'I 4/m m m'
_space_group_IT_number 139
_space_group_name_Hall '-I 4 2'
loop_
_atom_site_label
_atom_site_type_symbol
_atom_site_fract_x
_atom_site_fract_y
_atom_site_fract_z
Zn1 Zn 0.000 0.000 0.000
Co1 Co 0.000 0.000 0.400
Re1 Re 0.000 0.500 0.250

=====

Question: Among the records above, which one has the lowest E?
Answer: ZnCo2Re2